Record 1
Here is a geometry-optimized Sc2VRh structure from the Alexandria database. Energies are from GGA-PBE.

Properties
The space group is P4/mmm, No. 123. The value obtained for the formation energy is -110 kJ/mol of formula units. The size of the total moment is 0.01 μB per formula unit.

Cell lengths 3.1605, 3.1605, 7.0432 Å; angles 90.00, 90.00, 90.00 degrees
Closest atoms and distances in Å follow each position.
Sites, in units of the cell vectors:
1 V 0.5000 0.5000 0.5000  8 Sc 2.92, 4 V 3.16
2 Sc 0.0000 0.0000 0.2341  4 Rh 2.78, 4 V 2.92
3 Sc 0.0000 0.0000 0.7659  4 Rh 2.78, 4 V 2.92
4 Rh 0.5000 0.5000 0.0000  8 Sc 2.78

=====

Record 2
Here is a geometry-optimized Sc2VRh2 structure from the Alexandria database. Energies are from GGA-PBE.

Properties
The space group is P4/mbm, No. 127. The value obtained for the formation energy is -259 kJ/mol of formula units. The size of the total moment is 0.00 μB per formula unit.

Cell lengths 6.4298, 6.4298, 4.2733 Å; angles 90.00, 90.00, 90.00 degrees
Closest atoms and distances in Å follow each position.
Sites, in units of the cell vectors:
1 Sc 0.8269 0.3269 0.5000  6 Rh 2.70-2.97
2 Sc 0.3269 0.1731 0.5000  6 Rh 2.70-2.97
3 Sc 0.1731 0.6731 0.5000  6 Rh 2.70-2.97
4 Sc 0.6731 0.8269 0.5000  6 Rh 2.70-2.97
5 V 0.5000 0.5000 0.0000  4 Rh 2.46
6 V 0.0000 0.0000 0.0000  4 Rh 2.46
7 Rh 0.6455 0.1455 0.0000  2 V 2.46, 1 Rh 2.65, 2 Sc 2.70
8 Rh 0.1455 0.3545 0.0000  2 V 2.46, 1 Rh 2.65, 2 Sc 2.70
9 Rh 0.3545 0.8545 0.0000  2 V 2.46, 1 Rh 2.65, 2 Sc 2.70
10 Rh 0.8545 0.6455 0.0000  2 V 2.46, 1 Rh 2.65, 2 Sc 2.70

=====

Record 3
Here is a geometry-optimized Sc2VRh6 structure from the Alexandria database. Energies are from GGA-PBE.

Properties
The space group is C2/m, No. 12. The value obtained for the formation energy is -264 kJ/mol of formula units. The size of the total moment is 0.00 μB per formula unit.

Cell lengths 2.9798, 7.2720, 7.8456 Å; angles 117.61, 101.02, 90.00 degrees
Closest atoms and distances in Å follow each position.
Sites, in units of the cell vectors:
1 Sc 0.6707 0.6635 0.3270  8 Rh 2.67-2.79, 2 Sc 2.98
2 Sc 0.3293 0.3365 0.6730  8 Rh 2.67-2.79, 2 Sc 2.98
3 Rh 0.5000 0.7333 0.0000  2 V 2.45, 2 Rh 2.74
4 Rh 0.8327 0.0299 0.6705  1 V 2.65, 3 Sc 2.67-2.73, 5 Rh 2.74-2.88
5 Rh 0.1673 0.3594 0.3295  1 V 2.65, 3 Sc 2.67-2.73, 5 Rh 2.74-2.88
6 Rh 0.1673 0.9701 0.3295  1 V 2.65, 3 Sc 2.67-2.73, 5 Rh 2.74-2.88
7 Rh 0.8327 0.6406 0.6705  1 V 2.65, 3 Sc 2.67-2.73, 5 Rh 2.74-2.88
8 Rh 0.5000 0.2667 0.0000  2 V 2.45, 2 Rh 2.74
9 V 0.0000 0.0000 0.0000  8 Rh 2.45-2.65

=====

Record 4
Here is a geometry-optimized ScV2Rh structure from the Alexandria database. Energies are from GGA-PBE.

Properties
The space group is I-42d, No. 122. The value obtained for the formation energy is 80 kJ/mol of formula units. The size of the total moment is 0.00 μB per formula unit.

Cell lengths 7.2072, 7.2072, 5.7220 Å; angles 50.97, 50.97, 90.00 degrees
Closest atoms and distances in Å follow each position.
Sites, in units of the cell vectors:
1 V 0.0845 0.6250 0.2500  2 Rh 2.44, 2 V 2.67
2 V 0.6655 0.1250 0.2500  2 Rh 2.44, 2 V 2.67
3 V 0.8750 0.9155 0.7500  2 Rh 2.44, 2 V 2.67
4 V 0.3750 0.3345 0.7500  2 Rh 2.44, 2 V 2.67
5 Rh 0.0000 0.0000 0.0000  4 V 2.44, 2 Sc 2.60
6 Rh 0.7500 0.2500 0.5000  4 V 2.44, 2 Sc 2.60
7 Sc 0.5000 0.5000 0.0000  2 Rh 2.60, 4 V 2.84
8 Sc 0.2500 0.7500 0.5000  2 Rh 2.60, 4 V 2.84

=====

Record 5
Here is a geometry-optimized Sc2VRh structure from the Alexandria database. Energies are from GGA-PBE.

Properties
The space group is P4/mmm, No. 123. The value obtained for the formation energy is -129 kJ/mol of formula units. The size of the total moment is 3.16 μB per formula unit.

Cell lengths 3.3262, 4.6192, 4.6192 Å; angles 90.00, 90.00, 90.00 degrees
Closest atoms and distances in Å follow each position.
Sites, in units of the cell vectors:
1 Sc 0.0000 0.5000 0.0000  4 Rh 2.85, 4 V 2.85
2 Sc 0.0000 0.0000 0.5000  4 V 2.85, 4 Rh 2.85
3 V 0.5000 0.5000 0.5000  8 Sc 2.85
4 Rh 0.5000 0.0000 0.0000  8 Sc 2.85

=====

Record 6
Here is a geometry-optimized Sc3VRh structure from the Alexandria database. Energies are from GGA-PBE.

Properties
The space group is Pm-3m, No. 221. The value obtained for the formation energy is 80 kJ/mol of formula units. The size of the total moment is 3.93 μB per formula unit.

Cell lengths 4.9701, 4.9701, 4.9701 Å; angles 90.00, 90.00, 90.00 degrees
Closest atoms and distances in Å follow each position.
Sites, in units of the cell vectors:
1 Sc 0.0000 0.5000 0.0000  2 Rh 2.49
2 Sc 0.0000 0.0000 0.5000  2 Rh 2.49
3 Sc 0.5000 0.0000 0.0000  2 Rh 2.49
4 V 0.5000 0.5000 0.5000  12 Sc 3.51
5 Rh 0.0000 0.0000 0.0000  6 Sc 2.49

=====

Record 7
Here is a geometry-optimized Sc3V12Rh5 structure from the Alexandria database. Energies are from GGA-PBE.

Properties
The space group is Ia-3d, No. 230. The value obtained for the formation energy is 1882 kJ/mol of formula units. The size of the total moment is 0.00 μB per formula unit.

Cell lengths 12.4543, 12.4543, 12.4543 Å; angles 109.47, 109.47, 109.47 degrees
Closest atoms and distances in Å follow each position.
Sites, in units of the cell vectors:
1 V 0.2719 0.8711 0.9420  2 Rh 2.37-2.45, 1 Sc 2.51
2 V 0.8299 0.9008 0.2719  2 Rh 2.37-2.45, 1 Sc 2.51
3 V 0.7281 0.1289 0.0580  2 Rh 2.37-2.45, 1 Sc 2.51
4 V 0.0580 0.4291 0.8299  2 Rh 2.37-2.45, 1 Sc 2.51
5 V 0.9291 0.8299 0.5580  2 Rh 2.37-2.45, 1 Sc 2.51
6 V 0.7281 0.5992 0.1701  2 Rh 2.37-2.45, 1 Sc 2.51
7 V 0.4008 0.2719 0.3299  2 Rh 2.37-2.45, 1 Sc 2.51
8 V 0.2281 0.5580 0.6289  2 Rh 2.37-2.45, 1 Sc 2.51
9 V 0.9008 0.0709 0.6289  2 Rh 2.37-2.45, 1 Sc 2.51
10 V 0.9420 0.5709 0.1701  2 Rh 2.37-2.45, 1 Sc 2.51
11 V 0.3299 0.5580 0.4291  2 Rh 2.37-2.45, 1 Sc 2.51
12 V 0.0709 0.9008 0.1289  2 Rh 2.37-2.45, 1 Sc 2.51
13 V 0.4291 0.0580 0.3299  2 Rh 2.37-2.45, 1 Sc 2.51
14 V 0.5709 0.6289 0.4008  2 Rh 2.37-2.45, 1 Sc 2.51
15 V 0.7719 0.4420 0.3711  2 Rh 2.37-2.45, 1 Sc 2.51
16 V 0.3711 0.9420 0.7719  2 Rh 2.37-2.45, 1 Sc 2.51
17 V 0.9008 0.8299 0.7719  2 Rh 2.37-2.45, 1 Sc 2.51
18 V 0.5709 0.9420 0.6701  2 Rh 2.37-2.45, 1 Sc 2.51
19 V 0.4008 0.1289 0.5709  2 Rh 2.37-2.45, 1 Sc 2.51
20 V 0.6701 0.2281 0.5992  2 Rh 2.37-2.45, 1 Sc 2.51
21 V 0.5992 0.8711 0.4291  2 Rh 2.37-2.45, 1 Sc 2.51
22 V 0.6289 0.5709 0.9008  2 Rh 2.37-2.45, 1 Sc 2.51
23 V 0.7719 0.3299 0.9008  2 Rh 2.37-2.45, 1 Sc 2.51
24 V 0.1289 0.4008 0.0709  2 Rh 2.37-2.45, 1 Sc 2.51
25 V 0.4420 0.7719 0.8711  2 Rh 2.37-2.45, 1 Sc 2.51
26 V 0.9420 0.3711 0.2719  2 Rh 2.37-2.45, 1 Sc 2.51
27 V 0.8299 0.9291 0.0580  2 Rh 2.37-2.45, 1 Sc 2.51
28 V 0.1701 0.0992 0.7281  2 Rh 2.37-2.45, 1 Sc 2.51
29 V 0.5580 0.3299 0.9291  2 Rh 2.37-2.45, 1 Sc 2.51
30 V 0.8711 0.5992 0.9291  2 Rh 2.37-2.45, 1 Sc 2.51
31 V 0.8711 0.2719 0.4420  2 Rh 2.37-2.45, 1 Sc 2.51
32 V 0.1289 0.7281 0.5580  2 Rh 2.37-2.45, 1 Sc 2.51
33 V 0.2719 0.4008 0.8299  2 Rh 2.37-2.45, 1 Sc 2.51
34 V 0.1701 0.0709 0.9420  2 Rh 2.37-2.45, 1 Sc 2.51
35 V 0.0580 0.6289 0.7281  2 Rh 2.37-2.45, 1 Sc 2.51
36 V 0.0709 0.1701 0.4420  2 Rh 2.37-2.45, 1 Sc 2.51
37 V 0.0992 0.9291 0.3711  2 Rh 2.37-2.45, 1 Sc 2.51
38 V 0.9291 0.0992 0.8711  2 Rh 2.37-2.45, 1 Sc 2.51
39 V 0.4420 0.6701 0.0709  2 Rh 2.37-2.45, 1 Sc 2.51
40 V 0.3711 0.4291 0.0992  2 Rh 2.37-2.45, 1 Sc 2.51
41 V 0.6289 0.0580 0.2281  2 Rh 2.37-2.45, 1 Sc 2.51
42 V 0.2281 0.6701 0.0992  2 Rh 2.37-2.45, 1 Sc 2.51
43 V 0.5580 0.2281 0.1289  2 Rh 2.37-2.45, 1 Sc 2.51
44 V 0.0992 0.1701 0.2281  2 Rh 2.37-2.45, 1 Sc 2.51
45 V 0.3299 0.7719 0.4008  2 Rh 2.37-2.45, 1 Sc 2.51
46 V 0.4291 0.3711 0.5992  2 Rh 2.37-2.45, 1 Sc 2.51
47 V 0.6701 0.4420 0.5709  2 Rh 2.37-2.45, 1 Sc 2.51
48 V 0.5992 0.7281 0.6701  2 Rh 2.37-2.45, 1 Sc 2.51
49 Rh 0.5000 0.0000 0.0000  6 V 2.45
50 Rh 0.3750 0.2500 0.1250  4 V 2.37
51 Rh 0.1250 0.3750 0.2500  4 V 2.37
52 Rh 0.6250 0.8750 0.2500  4 V 2.37
53 Rh 0.2500 0.3750 0.6250  4 V 2.37
54 Rh 0.1250 0.7500 0.3750  4 V 2.37
55 Rh 0.0000 0.0000 0.5000  6 V 2.45
56 Rh 0.0000 0.5000 0.0000  6 V 2.45
57 Rh 0.0000 0.5000 0.5000  6 V 2.45
58 Rh 0.5000 0.5000 0.0000  6 V 2.45
59 Rh 0.3750 0.1250 0.7500  4 V 2.37
60 Rh 0.7500 0.1250 0.8750  4 V 2.37
61 Rh 0.8750 0.6250 0.7500  4 V 2.37
62 Rh 0.8750 0.2500 0.6250  4 V 2.37
63 Rh 0.2500 0.8750 0.1250  4 V 2.37
64 Rh 0.6250 0.7500 0.8750  4 V 2.37
65 Rh 0.5000 0.0000 0.5000  6 V 2.45
66 Rh 0.7500 0.6250 0.3750  4 V 2.37
67 Rh 0.0000 0.0000 0.0000  6 V 2.45
68 Rh 0.5000 0.5000 0.5000  6 V 2.45
69 Sc 0.2500 0.1250 0.3750  8 V 2.51-2.78
70 Sc 0.8750 0.1250 0.2500  8 V 2.51-2.78
71 Sc 0.3750 0.6250 0.2500  8 V 2.51-2.78
72 Sc 0.2500 0.6250 0.8750  8 V 2.51-2.78
73 Sc 0.8750 0.7500 0.1250  8 V 2.51-2.78
74 Sc 0.7500 0.3750 0.1250  8 V 2.51-2.78
75 Sc 0.7500 0.8750 0.6250  8 V 2.51-2.78
76 Sc 0.1250 0.2500 0.8750  8 V 2.51-2.78
77 Sc 0.3750 0.7500 0.6250  8 V 2.51-2.78
78 Sc 0.6250 0.3750 0.7500  8 V 2.51-2.78
79 Sc 0.1250 0.8750 0.7500  8 V 2.51-2.78
80 Sc 0.6250 0.2500 0.3750  8 V 2.51-2.78

=====

Record 8
Here is a geometry-optimized ScV2Rh2 structure from the Alexandria database. Energies are from GGA-PBE.

Properties
The space group is P4/mbm, No. 127. The value obtained for the formation energy is -135 kJ/mol of formula units. The size of the total moment is 1.58 μB per formula unit.

Cell lengths 7.4152, 7.4152, 2.8427 Å; angles 90.00, 90.00, 90.00 degrees
Closest atoms and distances in Å follow each position.
Sites, in units of the cell vectors:
1 V 0.6613 0.8387 0.5000  6 Rh 2.57-2.62, 2 V 2.84
2 V 0.8387 0.3387 0.5000  6 Rh 2.57-2.62, 2 V 2.84
3 V 0.1613 0.6613 0.5000  6 Rh 2.57-2.62, 2 V 2.84
4 V 0.3387 0.1613 0.5000  6 Rh 2.57-2.62, 2 V 2.84
5 Sc 0.0000 0.0000 0.0000  2 Sc 2.84, 4 Rh 2.89, 8 V 3.12
6 Sc 0.5000 0.5000 0.0000  2 Sc 2.84, 4 Rh 2.89, 8 V 3.12
7 Rh 0.1345 0.3655 0.0000  6 V 2.57-2.62, 3 Rh 2.82-2.84
8 Rh 0.3655 0.8655 0.0000  6 V 2.57-2.62, 3 Rh 2.82-2.84
9 Rh 0.6345 0.1345 0.0000  6 V 2.57-2.62, 3 Rh 2.82-2.84
10 Rh 0.8655 0.6345 0.0000  6 V 2.57-2.62, 3 Rh 2.82-2.84

=====

Record 9
Here is a geometry-optimized ZrScVRh structure from the Alexandria database. Energies are from GGA-PBE.

Properties
The space group is F-43m, No. 216. The value obtained for the formation energy is -130 kJ/mol of formula units. The size of the total moment is 2.84 μB per formula unit.

Cell lengths 4.6750, 4.6750, 4.6750 Å; angles 60.00, 60.00, 60.00 degrees
Closest atoms and distances in Å follow each position.
Sites, in units of the cell vectors:
1 Rh 0.5000 0.5000 0.5000  4 Sc 2.86, 4 Zr 2.86
2 Sc 0.7500 0.7500 0.7500  4 Rh 2.86, 4 V 2.86
3 V 0.0000 0.0000 0.0000  4 Zr 2.86, 4 Sc 2.86
4 Zr 0.2500 0.2500 0.2500  4 Rh 2.86, 4 V 2.86

=====

Record 10
Here is a geometry-optimized ScRhW2 structure from the Alexandria database. Energies are from GGA-PBE.

Properties
The space group is P4/mmm, No. 123. The value obtained for the formation energy is 122 kJ/mol of formula units. The size of the total moment is 0.00 μB per formula unit.

Cell lengths 4.7524, 4.7524, 2.9028 Å; angles 90.00, 90.00, 90.00 degrees
Closest atoms and distances in Å follow each position.
Sites, in units of the cell vectors:
1 Rh 0.5000 0.0000 0.5000  8 W 2.78, 2 Rh 2.90
2 W 0.5000 0.5000 0.0000  4 Rh 2.78, 4 Sc 2.78, 2 W 2.90
3 W 0.0000 0.0000 0.0000  4 Sc 2.78, 4 Rh 2.78, 2 W 2.90
4 Sc 0.0000 0.5000 0.5000  8 W 2.78, 2 Sc 2.90

=====

Record 11
Here is a geometry-optimized Sc2RhW structure from the Alexandria database. Energies are from GGA-PBE.

Properties
The space group is Fm-3m, No. 225. The value obtained for the formation energy is -16 kJ/mol of formula units. The size of the total moment is 1.61 μB per formula unit.

Cell lengths 4.6487, 4.6487, 4.6487 Å; angles 60.00, 60.00, 60.00 degrees
Closest atoms and distances in Å follow each position.
Sites, in units of the cell vectors:
1 W 0.5000 0.5000 0.5000  8 Sc 2.85
2 Sc 0.7500 0.7500 0.7500  4 W 2.85, 4 Rh 2.85
3 Sc 0.2500 0.2500 0.2500  4 W 2.85, 4 Rh 2.85
4 Rh 0.0000 0.0000 0.0000  8 Sc 2.85

=====

Record 12
Here is a geometry-optimized ScRh3W structure from the Alexandria database. Energies are from GGA-PBE.

Properties
The space group is Pm-3m, No. 221. The value obtained for the formation energy is 272 kJ/mol of formula units. The size of the total moment is 0.00 μB per formula unit.

Cell lengths 4.7004, 4.7004, 4.7004 Å; angles 90.00, 90.00, 90.00 degrees
Closest atoms and distances in Å follow each position.
Sites, in units of the cell vectors:
1 Rh 0.0000 0.0000 0.5000  2 W 2.35
2 Rh 0.0000 0.5000 0.0000  2 W 2.35
3 Rh 0.5000 0.0000 0.0000  2 W 2.35
4 Sc 0.5000 0.5000 0.5000  12 Rh 3.32
5 W 0.0000 0.0000 0.0000  6 Rh 2.35